<a>
A relaxed structure of MnZnF2, computed with GGA+U.

Calculated values
Space group ... Fm-3m (225)
Theoretical density ... 4.765 Mg/m³

Cell lengths 4.2734, 4.2734, 4.2734 Å; angles 60.00, 60.00, 60.00 degrees
With the nearest neighbours (Å) after each atom.
Positions (direct):
F 0.7500 0.7500 0.7500  4 Mn 2.62, 4 Zn 2.62
F 0.2500 0.2500 0.2500  4 Mn 2.62, 4 Zn 2.62
Zn 0.5000 0.5000 0.5000  8 F 2.62
Mn 0.0000 0.0000 0.0000  8 F 2.62


<b>
A relaxed structure of MnZnF2, computed with GGA+U.

Calculated values
Space group ... R-3m (166)
Theoretical density ... 3.334 Mg/m³

Cell lengths 8.5487, 8.5487, 8.5487 Å; angles 22.30, 22.30, 22.30 degrees
With the nearest neighbours (Å) after each atom.
Positions (direct):
F 0.1269 0.1269 0.1269  3 Mn 2.15
Zn 0.0000 0.0000 0.0000  2 F 3.17, 6 Zn 3.31
Mn 0.5000 0.5000 0.5000  6 F 2.15
F 0.8731 0.8731 0.8731  3 Mn 2.15


<c>
A relaxed structure of MnZnF2, computed with GGA+U.

Calculated values
Space group ... I-42d (122)
Theoretical density ... 2.711 Mg/m³

Cell lengths 6.4106, 6.4106, 6.5447 Å; angles 60.68, 60.68, 90.00 degrees
With the nearest neighbours (Å) after each atom.
Positions (direct):
Zn 0.7500 0.2500 0.5000  8 F 3.50-3.90
Mn 0.2500 0.7500 0.5000  4 F 2.02
Zn 0.0000 0.0000 0.0000  8 F 3.50-3.90
F 0.4255 0.1250 0.2500  2 Mn 2.02
F 0.3750 0.5745 0.7500  2 Mn 2.02
Mn 0.5000 0.5000 0.0000  4 F 2.02
F 0.8750 0.6755 0.7500  2 Mn 2.02
F 0.3245 0.6250 0.2500  2 Mn 2.02


<d>
A relaxed structure of MnZnF2, computed with GGA+U.

Calculated values
Space group ... R-3m (166)
Theoretical density ... 4.378 Mg/m³

Cell lengths 7.8203, 7.8203, 7.8203 Å; angles 22.24, 22.24, 22.24 degrees
With the nearest neighbours (Å) after each atom.
Positions (direct):
Zn 0.5000 0.5000 0.5000  6 F 2.59
Mn 0.0000 0.0000 0.0000  2 F 1.89
F 0.0827 0.0827 0.0827  1 Mn 1.89
F 0.9173 0.9173 0.9173  1 Mn 1.89


Relative to the most stable structure, the computed energies are <a> 557; <b> 0; <c> 90; <d> 493, all in meV/atom.


<a>
A relaxed structure of Mn2Zn2F7, computed with GGA+U.

Calculated values
Space group ... Fd-3m (227)
Theoretical density ... 4.437 Mg/m³

Cell lengths 7.3405, 7.3405, 7.3405 Å; angles 60.00, 60.00, 60.00 degrees
With the nearest neighbours (Å) after each atom.
Positions (direct):
F 0.0126 0.0126 0.4874  2 Zn 2.17, 2 Mn 2.33
F 0.2374 0.7626 0.7626  2 Zn 2.17, 2 Mn 2.33
Mn 0.6250 0.1250 0.6250  8 F 2.25-2.33
F 0.5000 0.5000 0.5000  4 Mn 2.25
F 0.2374 0.7626 0.2374  2 Zn 2.17, 2 Mn 2.33
F 0.7626 0.2374 0.7626  2 Zn 2.17, 2 Mn 2.33
F 0.2374 0.2374 0.7626  2 Zn 2.17, 2 Mn 2.33
Zn 0.6250 0.1250 0.1250  6 F 2.17
Mn 0.6250 0.6250 0.1250  8 F 2.25-2.33
Zn 0.1250 0.1250 0.1250  6 F 2.17
F 0.7500 0.7500 0.7500  4 Mn 2.25
F 0.4874 0.0126 0.4874  2 Zn 2.17, 2 Mn 2.33
Mn 0.1250 0.6250 0.6250  8 F 2.25-2.33
F 0.4874 0.0126 0.0126  2 Zn 2.17, 2 Mn 2.33
F 0.0126 0.4874 0.0126  2 Zn 2.17, 2 Mn 2.33
F 0.7626 0.7626 0.2374  2 Zn 2.17, 2 Mn 2.33
Mn 0.6250 0.6250 0.6250  8 F 2.25-2.33
F 0.0126 0.4874 0.4874  2 Zn 2.17, 2 Mn 2.33
F 0.7626 0.2374 0.2374  2 Zn 2.17, 2 Mn 2.33
F 0.4874 0.4874 0.0126  2 Zn 2.17, 2 Mn 2.33
Zn 0.1250 0.1250 0.6250  6 F 2.17
Zn 0.1250 0.6250 0.1250  6 F 2.17


<b>
A relaxed structure of Mn2Zn2F7, computed with GGA+U.

Calculated values
Space group ... Imm2 (44)
Theoretical density ... 4.542 Mg/m³

Cell lengths 3.2683, 7.2239, 7.2239 Å; angles 55.96, 76.93, 76.93 degrees
With the nearest neighbours (Å) after each atom.
Positions (direct):
Mn 0.5000 0.3263 0.6737  7 F 2.15-2.36
F 0.3997 0.7233 0.4772  2 Zn 2.35, 3 Mn 2.36-2.39, 1 F 2.47
F 0.1122 0.1911 0.5845  1 Zn 2.14, 2 Mn 2.15
Zn 0.7716 0.7657 0.6911  5 F 2.10-2.35
F 0.8878 0.4155 0.8089  1 Zn 2.14, 2 Mn 2.15
F 0.5000 0.0026 0.9974  3 Mn 2.11-2.19
Zn 0.2284 0.3089 0.2343  5 F 2.10-2.35
F 0.6003 0.5228 0.2767  2 Zn 2.35, 3 Mn 2.36-2.39, 1 F 2.47
F 0.8017 0.0944 0.3023  2 Zn 2.10
Mn 0.0000 0.8056 0.1944  2 F 2.11
F 0.1983 0.6977 0.9056  2 Zn 2.10


Relative to the most stable structure, the computed energies are <a> 0; <b> 35, all in meV/atom.


<a>
A relaxed structure of MnZnF3, computed with GGA+U.

Calculated values
Space group ... Pm-3m (221)
Theoretical density ... 4.182 Mg/m³

Cell lengths 4.1293, 4.1293, 4.1293 Å; angles 90.00, 90.00, 90.00 degrees
With the nearest neighbours (Å) after each atom.
Positions (direct):
F 0.0000 0.5000 0.0000  2 Zn 2.06
Zn 0.0000 0.0000 0.0000  6 F 2.06
Mn 0.5000 0.5000 0.5000  12 F 2.92
F 0.0000 0.0000 0.5000  2 Zn 2.06
F 0.5000 0.0000 0.0000  2 Zn 2.06


<b>
A relaxed structure of MnZnF3, computed with GGA+U.

Calculated values
Space group ... Pm-3m (221)
Theoretical density ... 4.003 Mg/m³

Cell lengths 4.1901, 4.1901, 4.1901 Å; angles 90.00, 90.00, 90.00 degrees
With the nearest neighbours (Å) after each atom.
Positions (direct):
F 0.5000 0.0000 0.0000  2 Mn 2.10
F 0.0000 0.0000 0.5000  2 Mn 2.10
F 0.0000 0.5000 0.0000  2 Mn 2.10
Zn 0.5000 0.5000 0.5000  12 F 2.96
Mn 0.0000 0.0000 0.0000  6 F 2.10


Relative to the most stable structure, the computed energies are <a> 131; <b> 0, all in meV/atom.


<a>
A relaxed structure of MnZn2F, computed with GGA+U.

Calculated values
Space group ... Fm-3m (225)
Theoretical density ... 4.996 Mg/m³

Cell lengths 4.5829, 4.5829, 4.5829 Å; angles 60.00, 60.00, 60.00 degrees
With the nearest neighbours (Å) after each atom.
Positions (direct):
Zn 0.2500 0.2500 0.2500  4 Mn 2.81, 4 F 2.81
Mn 0.5000 0.5000 0.5000  8 Zn 2.81
F 0.0000 0.0000 0.0000  8 Zn 2.81
Zn 0.7500 0.7500 0.7500  4 Mn 2.81, 4 F 2.81


<b>
A relaxed structure of MnZn2F, computed with GGA+U.

Calculated values
Space group ... I-42d (122)
Theoretical density ... 5.217 Mg/m³

Cell lengths 7.3913, 7.3913, 5.7453 Å; angles 49.97, 49.97, 90.00 degrees
With the nearest neighbours (Å) after each atom.
Positions (direct):
Mn 0.7500 0.2500 0.5000  2 F 2.39
Zn 0.1657 0.6250 0.2500  2 Zn 2.46, 2 F 2.48
Zn 0.8750 0.8343 0.7500  2 Zn 2.46, 2 F 2.48
Zn 0.3750 0.4157 0.7500  2 Zn 2.46, 2 F 2.48
Mn 0.0000 0.0000 0.0000  2 F 2.39
Zn 0.5843 0.1250 0.2500  2 Zn 2.46, 2 F 2.48
F 0.2500 0.7500 0.5000  2 Mn 2.39, 4 Zn 2.48
F 0.5000 0.5000 0.0000  2 Mn 2.39, 4 Zn 2.48


Relative to the most stable structure, the computed energies are <a> 293; <b> 0, all in meV/atom.


<a>
A relaxed structure of ZrMnF2, computed with GGA+U.

Calculated values
Space group ... Fm-3m (225)
Theoretical density ... 5.205 Mg/m³

Cell lengths 4.3635, 4.3635, 4.3635 Å; angles 60.00, 60.00, 60.00 degrees
With the nearest neighbours (Å) after each atom.
Positions (direct):
F 0.2500 0.2500 0.2500  4 Zr 2.67, 4 Mn 2.67
Mn 0.0000 0.0000 0.0000  8 F 2.67
Zr 0.5000 0.5000 0.5000  8 F 2.67
F 0.7500 0.7500 0.7500  4 Zr 2.67, 4 Mn 2.67


<b>
A relaxed structure of ZrMnF2, computed with GGA+U.

Calculated values
Space group ... I-42d (122)
Theoretical density ... 4.386 Mg/m³

Cell lengths 5.2534, 5.2534, 6.2709 Å; angles 65.24, 65.24, 90.00 degrees
With the nearest neighbours (Å) after each atom.
Positions (direct):
F 0.6073 0.1250 0.2500  2 Mn 2.19, 2 Zr 2.30
F 0.8750 0.8573 0.7500  2 Mn 2.19, 2 Zr 2.30
F 0.1427 0.6250 0.2500  2 Mn 2.19, 2 Zr 2.30
Zr 0.0000 0.0000 0.0000  4 F 2.30
Mn 0.2500 0.7500 0.5000  4 F 2.19
Mn 0.5000 0.5000 0.0000  4 F 2.19
F 0.3750 0.3927 0.7500  2 Mn 2.19, 2 Zr 2.30
Zr 0.7500 0.2500 0.5000  4 F 2.30


Relative to the most stable structure, the computed energies are <a> 247; <b> 0, all in meV/atom.


<a>
A relaxed structure of ZrMnF3, computed with GGA+U.

Calculated values
Space group ... Pm-3m (221)
Theoretical density ... 4.364 Mg/m³

Cell lengths 4.2600, 4.2600, 4.2600 Å; angles 90.00, 90.00, 90.00 degrees
With the nearest neighbours (Å) after each atom.
Positions (direct):
Mn 0.0000 0.0000 0.0000  6 F 2.13
F 0.0000 0.5000 0.0000  2 Mn 2.13
F 0.5000 0.0000 0.0000  2 Mn 2.13
F 0.0000 0.0000 0.5000  2 Mn 2.13
Zr 0.5000 0.5000 0.5000  12 F 3.01


<b>
A relaxed structure of ZrMnF3, computed with GGA+U.

Calculated values
Space group ... Pm-3m (221)
Theoretical density ... 3.916 Mg/m³

Cell lengths 4.4165, 4.4165, 4.4165 Å; angles 90.00, 90.00, 90.00 degrees
With the nearest neighbours (Å) after each atom.
Positions (direct):
F 0.5000 0.0000 0.0000  2 Zr 2.21
F 0.0000 0.5000 0.0000  2 Zr 2.21
Zr 0.0000 0.0000 0.0000  6 F 2.21
Mn 0.5000 0.5000 0.5000  12 F 3.12
F 0.0000 0.0000 0.5000  2 Zr 2.21


Relative to the most stable structure, the computed energies are <a> 374; <b> 0, all in meV/atom.


<a>
A relaxed structure of Zr3MnF, computed with GGA+U.

Calculated values
Space group ... Pm-3m (221)
Theoretical density ... 5.042 Mg/m³

Cell lengths 4.8555, 4.8555, 4.8555 Å; angles 90.00, 90.00, 90.00 degrees
With the nearest neighbours (Å) after each atom.
Positions (direct):
Zr 0.5000 0.0000 0.0000  2 Mn 2.43
Zr 0.0000 0.5000 0.0000  2 Mn 2.43
F 0.5000 0.5000 0.5000  12 Zr 3.43
Zr 0.0000 0.0000 0.5000  2 Mn 2.43
Mn 0.0000 0.0000 0.0000  6 Zr 2.43


<b>
A relaxed structure of Zr3MnF, computed with GGA+U.

Calculated values
Space group ... Pm-3m (221)
Theoretical density ... 6.019 Mg/m³

Cell lengths 4.5773, 4.5773, 4.5773 Å; angles 90.00, 90.00, 90.00 degrees
With the nearest neighbours (Å) after each atom.
Positions (direct):
Zr 0.5000 0.0000 0.0000  2 F 2.29
Zr 0.0000 0.5000 0.0000  2 F 2.29
Mn 0.5000 0.5000 0.5000  12 Zr 3.24
F 0.0000 0.0000 0.0000  6 Zr 2.29
Zr 0.0000 0.0000 0.5000  2 F 2.29


Relative to the most stable structure, the computed energies are <a> 1204; <b> 0, all in meV/atom.


<a>
A relaxed structure of Zr3MnF6, computed with GGA+U.

Calculated values
Space group ... P-1 (2)
Theoretical density ... 3.622 Mg/m³

Cell lengths 6.1172, 6.1300, 6.7270 Å; angles 64.65, 72.65, 63.96 degrees
With the nearest neighbours (Å) after each atom.
Positions (direct):
Zr 0.5000 0.5000 0.5000  2 F 2.18
F 0.0321 0.2128 0.1596  1 Zr 2.09, 1 Mn 2.11
Zr 0.0000 0.0000 0.5000  4 F 2.09-2.26
Zr 0.5000 0.0000 0.5000  2 F 2.09
F 0.6315 0.0869 0.1606  1 Zr 2.09, 1 Mn 2.13
Mn 0.0000 0.0000 0.0000  6 F 2.11-2.35
F 0.9679 0.7872 0.8404  1 Zr 2.09, 1 Mn 2.11
F 0.1787 0.7078 0.3248  2 Zr 2.18-2.26, 1 Mn 2.35
F 0.3685 0.9131 0.8394  1 Zr 2.09, 1 Mn 2.13
F 0.8213 0.2922 0.6752  2 Zr 2.18-2.26, 1 Mn 2.35


<b>
A relaxed structure of Zr3MnF6, computed with GGA+U.

Calculated values
Space group ... C2/m (12)
Theoretical density ... 3.157 Mg/m³

Cell lengths 6.3015, 6.3033, 7.6737 Å; angles 90.12, 114.26, 119.81 degrees
With the nearest neighbours (Å) after each atom.
Positions (direct):
Zr 0.5000 0.5000 0.5000  2 F 2.04
F 0.7132 0.0872 0.8008  1 Zr 2.04, 1 Mn 2.15
Mn 0.0000 0.0000 0.0000  6 F 2.15
Zr 0.0000 0.0000 0.5000  2 F 2.04
F 0.2853 0.3732 0.1993  1 Zr 2.04, 1 Mn 2.15
F 0.7147 0.6268 0.8007  1 Zr 2.04, 1 Mn 2.15
F 0.1740 0.0864 0.8007  1 Zr 2.04, 1 Mn 2.15
F 0.8260 0.9136 0.1993  1 Zr 2.04, 1 Mn 2.15
F 0.2868 0.9128 0.1992  1 Zr 2.04, 1 Mn 2.15
Zr 0.5000 0.0000 0.5000  2 F 2.04


Relative to the most stable structure, the computed energies are <a> 103; <b> 0, all in meV/atom.